The following is a DFT calculation (PBE) of crystalline Cs2NbPd at its relaxed geometry. Values from VASP.

Cell and atoms, written as Quantum ESPRESSO input:
```
&SYSTEM
  ibrav = 0, nat = 4, ntyp = 3
/
ATOMIC_SPECIES
Nb 92.91 Nb.upf
Cs 132.91 Cs.upf
Pd 106.42 Pd.upf
ATOMIC_POSITIONS angstrom
Nb 0.0000 0.0000 0.0000
Cs -0.6919 -1.5549 3.2622
Pd -1.3839 -3.1099 6.5245
Cs -2.0758 -4.6648 9.7867
CELL_PARAMETERS angstrom
1.8735 -4.0931 3.9800
-0.6345 1.0234 5.8867
-4.0068 -3.1500 3.1823
```

Summary:
**Formation enthalpy at 0 K**: 133.4 kJ/mol of atoms
**Symmetry**: No. 225
**M_tot**: 5.0 μB per formula unit